{
  "formula": "Sm4Cu2Hg",
  "functional": "PBE",
  "state": "optimized geometry",
  "formation_energy_mev_per_atom": -128,
  "relative_energy_kj_per_mol_atoms": 0.0,
  "final_energy_ev_per_atom": -4.038,
  "magmom_total_mub_per_cell": 0.000,
  "cell": [[2.551, 1.473, 8.182], [-2.551, 1.473, 8.182], [0.000, -2.945, 8.182]],
  "species": ["Sm", "Sm", "Sm", "Sm", "Cu", "Cu", "Hg"],
  "frac_coords": [[0.117, 0.117, 0.117], [0.369, 0.369, 0.369], [0.631, 0.631, 0.631], [0.883, 0.883, 0.883], [0.248, 0.248, 0.248], [0.752, 0.752, 0.752], [0.500, 0.500, 0.500]]
}

{
  "formula": "AcLa12Pb3",
  "functional": "PBE",
  "state": "optimized geometry",
  "formation_energy_mev_per_atom": -278,
  "final_energy_ev_per_atom": -4.926,
  "magmom_total_mub_per_cell": 0.000,
  "cell": [[5.122, 0.000, 0.000], [0.000, 5.122, 0.000], [0.000, 0.000, 20.739]],
  "species": ["Ac", "La", "La", "La", "La", "La", "La", "La", "La", "La", "La", "La", "La", "Pb", "Pb", "Pb"],
  "frac_coords": [[0.000, 0.000, 0.000], [0.000, 0.500, 0.134], [0.000, 0.500, 0.379], [0.000, 0.500, 0.621], [0.000, 0.500, 0.866], [0.500, 0.000, 0.134], [0.500, 0.000, 0.379], [0.500, 0.000, 0.621], [0.500, 0.000, 0.866], [0.500, 0.500, 0.000], [0.500, 0.500, 0.258], [0.500, 0.500, 0.500], [0.500, 0.500, 0.742], [0.000, 0.000, 0.256], [0.000, 0.000, 0.500], [0.000, 0.000, 0.744]]
}

{
  "formula": "LiHg2Pb2",
  "functional": "PBE",
  "state": "optimized geometry",
  "formation_energy_mev_per_atom": -68,
  "relative_energy_kj_per_mol_atoms": 7.9,
  "final_energy_ev_per_atom": -2.055,
  "magmom_total_mub_per_cell": 0.000,
  "cell": [[7.282, 0.000, 0.000], [0.000, 7.282, 0.000], [0.000, 0.000, 5.030]],
  "species": ["Li", "Li", "Hg", "Hg", "Hg", "Hg", "Pb", "Pb", "Pb", "Pb"],
  "frac_coords": [[0.000, 0.000, 0.000], [0.500, 0.500, 0.000], [0.145, 0.355, 0.000], [0.355, 0.855, 0.000], [0.645, 0.145, 0.000], [0.855, 0.645, 0.000], [0.176, 0.676, 0.500], [0.324, 0.176, 0.500], [0.676, 0.824, 0.500], [0.824, 0.324, 0.500]]
}

{
  "formula": "NdGe3Ir5",
  "functional": "PBE",
  "state": "optimized geometry",
  "formation_energy_mev_per_atom": -364,
  "final_energy_ev_per_atom": -7.356,
  "magmom_total_mub_per_cell": 0.000,
  "cell": [[2.016, -6.381, 0.000], [2.016, 6.381, 0.000], [0.000, 0.000, 12.463]],
  "species": ["Nd", "Nd", "Ge", "Ge", "Ge", "Ge", "Ge", "Ge", "Ir", "Ir", "Ir", "Ir", "Ir", "Ir", "Ir", "Ir", "Ir", "Ir"],
  "frac_coords": [[0.172, 0.828, 0.750], [0.828, 0.172, 0.250], [0.116, 0.884, 0.250], [0.385, 0.615, 0.051], [0.385, 0.615, 0.449], [0.615, 0.385, 0.551], [0.615, 0.385, 0.949], [0.884, 0.116, 0.750], [0.000, 0.000, 0.000], [0.000, 0.000, 0.500], [0.202, 0.798, 0.072], [0.202, 0.798, 0.428], [0.442, 0.558, 0.644], [0.442, 0.558, 0.856], [0.558, 0.442, 0.144], [0.558, 0.442, 0.356], [0.798, 0.202, 0.572], [0.798, 0.202, 0.928]]
}

{
  "formula": "CsK2InAu",
  "functional": "PBE",
  "state": "optimized geometry",
  "formation_energy_mev_per_atom": -115,
  "relative_energy_kj_per_mol_atoms": 0.0,
  "final_energy_ev_per_atom": -1.927,
  "magmom_total_mub_per_cell": 0.000,
  "cell": [[6.612, 0.000, 0.000], [0.000, 6.612, 0.000], [0.000, 0.000, 5.364]],
  "species": ["Cs", "K", "K", "In", "Au"],
  "frac_coords": [[0.000, 0.000, 0.000], [0.000, 0.500, 0.500], [0.500, 0.000, 0.500], [0.500, 0.500, 0.000], [0.500, 0.500, 0.500]]
}

{
  "formula": "Y2Al3Re",
  "functional": "PBE",
  "state": "optimized geometry",
  "formation_energy_mev_per_atom": -425,
  "final_energy_ev_per_atom": -6.526,
  "magmom_total_mub_per_cell": 0.000,
  "cell": [[2.767, 1.597, 4.420], [-2.767, 1.597, 4.420], [0.000, -3.195, 4.420]],
  "species": ["Y", "Y", "Al", "Al", "Al", "Re"],
  "frac_coords": [[0.128, 0.128, 0.128], [0.872, 0.872, 0.872], [0.000, 0.500, 0.500], [0.500, 0.000, 0.500], [0.500, 0.500, 0.000], [0.500, 0.500, 0.500]]
}

{
  "formula": "PaTe",
  "functional": "PBE",
  "state": "optimized geometry",
  "formation_energy_uncorrected_ev_per_atom": -0.282,
  "final_energy_ev_per_atom": -6.601,
  "magmom_total_mub_per_cell": 0.987,
  "cell": [[4.329, 0.000, 0.000], [0.000, 4.324, 0.000], [-0.027, 0.000, 7.658]],
  "species": ["Pa", "Pa", "Te", "Te"],
  "frac_coords": [[0.250, 0.250, 0.000], [0.750, 0.750, 0.000], [0.248, 0.750, 0.702], [0.752, 0.250, 0.298]]
}

{
  "formula": "Li4HgSb3",
  "functional": "PBE",
  "state": "optimized geometry",
  "formation_energy_uncorrected_ev_per_atom": -0.386,
  "final_energy_ev_per_atom": -2.927,
  "magmom_total_mub_per_cell": 0.000,
  "cell": [[4.122, 0.000, 0.000], [0.000, 4.541, 0.000], [0.000, 0.000, 8.971]],
  "species": ["Li", "Li", "Li", "Li", "Hg", "Sb", "Sb", "Sb"],
  "frac_coords": [[0.000, 0.000, 0.000], [0.000, 0.000, 0.500], [0.000, 0.500, 0.248], [0.000, 0.500, 0.752], [0.500, 0.500, 0.500], [0.500, 0.000, 0.253], [0.500, 0.000, 0.747], [0.500, 0.500, 0.000]]
}